Entry 1:
4
Lattice="2.731 0.000 0.000 0.000 2.731 0.000 0.000 0.000 7.863" Properties=species:S:1:pos:R:3 comment="IrOs2Pt (PBE, relaxed)" formation_energy_ev_per_fu=0.6 volume_a3_per_atom=14.7 m_tot_mub_per_atom=0.000 dft_energy_ev_per_cell=-36.7 pbc="T T T"
Ir 1.366 1.366 5.897
Os 0.000 0.000 7.815
Os 0.000 0.000 3.979
Pt 1.366 1.366 1.966

=====

Entry 2:
8
Lattice="7.539 -1.528 5.446 6.431 1.637 6.692 -8.019 -0.888 -4.871" Properties=species:S:1:pos:R:3 comment="CuC3 (PBE, relaxed)" formation_energy_ev_per_fu=9.9 volume_a3_per_atom=7.4 m_tot_mub_per_atom=0.000 dft_energy_ev_per_cell=-43.7 pbc="T T T"
Cu 9.044 0.070 7.857
Cu 4.927 0.038 4.281
C -0.794 0.374 0.911
C -0.240 -1.208 0.287
C 3.252 -1.181 3.322
C 2.699 0.402 3.945
C 12.972 0.101 11.271
C 0.998 0.008 0.867

=====

Entry 3:
3
Lattice="-3.464 -0.063 -1.216 -1.200 -0.440 3.442 2.025 5.711 -0.522" Properties=species:S:1:pos:R:3 comment="LiTbTl (PBE, relaxed)" formation_energy_ev_per_fu=-0.4 volume_a3_per_atom=24.7 m_tot_mub_per_atom=0.108 dft_energy_ev_per_cell=-9.3 pbc="T T T"
Tl -2.594 4.414 1.618
Tb -2.402 1.001 1.248
Li -0.189 3.364 0.364